First-principles (SCAN) data for a PBEsol-optimized structure of K2UF6, as listed in the Alexandria database.

Cell lengths 4.0921, 6.0693, 7.1191 Å; angles 115.23, 106.70, 90.00 degrees
Fractional positions:
1 F 0.8592 0.0850 0.7184
2 K 0.6674 0.6674 0.3347
3 F 0.5000 0.7998 0.0000
4 F 0.5000 0.2002 0.0000
5 F 0.1408 0.9150 0.2816
6 U 0.0000 0.0000 0.0000
7 K 0.3326 0.3326 0.6653
8 F 0.8592 0.6334 0.7184
9 F 0.1408 0.3666 0.2816

Its final energy is -173.26 eV for the cell shown. The uncorrected formation energy comes out at -3.54 eV per atom. The size of the total moment is 2.0 μB per cell. Its density is 4.71 Mg/m³.